Record 1
19
Lattice="5.577 3.220 5.911 -5.577 3.220 5.911 0.000 -6.440 5.911" Properties=species:S:1:pos:R:3 comment="Pm2Dy15Th2 (PBE-GGA, relaxed)" energy_ev_per_cell=-88.00 density_g_cm3=8.321 spacegroup="R-3m, No. 166" formation_energy_ev_per_atom=0.283 pbc="T T T"
Pm 0.000 0.000 3.168
Pm 0.000 0.000 14.563
Dy -2.789 -1.610 5.911
Dy 0.000 -3.318 5.380
Dy -2.874 1.659 5.380
Dy -1.666 -2.885 8.866
Dy -3.331 0.000 8.866
Dy -2.874 -1.659 12.351
Dy -2.789 1.610 11.821
Dy 1.666 -2.885 8.866
Dy 0.000 3.220 5.911
Dy -1.666 2.885 8.866
Dy 2.874 1.659 5.380
Dy 3.331 0.000 8.866
Dy 1.666 2.885 8.866
Dy 2.874 -1.659 12.351
Dy 0.000 3.318 12.351
Th 0.000 0.000 7.317
Th 0.000 0.000 10.415

Record 2
11
Lattice="7.192 0.000 0.000 -3.596 6.228 0.000 0.000 0.000 8.692" Properties=species:S:1:pos:R:3 comment="Pm7Dy3Th (PBE-GGA, relaxed)" energy_ev_per_cell=-52.38 density_g_cm3=7.397 spacegroup="P3m1, No. 156" formation_energy_ev_per_atom=0.191 pbc="T T T"
Pm 0.000 0.000 0.000
Pm 0.000 2.065 2.937
Pm -1.808 5.196 2.937
Pm 3.596 0.038 0.010
Pm 1.831 3.095 0.010
Pm 1.808 5.196 2.937
Pm 5.361 3.095 0.010
Dy 1.825 1.054 5.767
Dy 5.367 1.054 5.767
Dy 3.596 4.121 5.767
Th 3.596 2.076 2.910

Record 3
18
Lattice="-3.959 3.959 9.780 3.959 -3.959 9.780 3.959 3.959 -9.780" Properties=species:S:1:pos:R:3 comment="Pm5Dy3Th (PBE-GGA, relaxed)" energy_ev_per_cell=-84.41 density_g_cm3=7.823 spacegroup="I4/mcm, No. 140" formation_energy_ev_per_atom=0.308 pbc="T T T"
Pm 0.000 0.000 0.000
Pm 5.590 1.630 -2.594
Pm 1.630 2.329 -2.594
Pm 5.590 1.630 2.594
Pm 1.630 2.329 2.594
Pm 0.000 0.000 9.780
Pm 2.329 1.630 7.186
Pm -1.630 2.329 7.186
Pm 2.329 1.630 12.375
Pm -1.630 2.329 12.375
Dy 2.923 1.036 0.000
Dy 0.000 0.000 4.890
Dy 2.923 -1.036 9.780
Dy 1.036 4.996 0.000
Dy 0.000 0.000 14.671
Dy 1.036 2.923 9.780
Th 3.959 0.000 4.890
Th 0.000 3.959 4.890

Record 4
15
Lattice="-5.610 5.610 4.043 5.610 -5.610 4.043 5.610 5.610 -4.043" Properties=species:S:1:pos:R:3 comment="Pm4Dy10Th (PBE-GGA, relaxed)" energy_ev_per_cell=-68.75 density_g_cm3=7.951 spacegroup="I4/mmm, No. 139" formation_energy_ev_per_atom=0.246 pbc="T T T"
Pm 2.524 2.524 0.000
Pm 3.085 -3.085 4.043
Pm -3.085 3.085 4.043
Pm 3.085 3.085 4.043
Dy 5.610 3.288 -1.651
Dy 5.610 0.000 2.022
Dy 3.288 5.610 -1.651
Dy 2.321 0.000 2.392
Dy 5.610 3.288 1.651
Dy 0.000 2.321 2.392
Dy 3.288 5.610 1.651
Dy 2.321 0.000 5.694
Dy 0.000 5.610 2.022
Dy 0.000 2.321 5.694
Th 0.000 0.000 0.000

Record 5
20
Lattice="5.054 0.000 0.000 0.000 5.054 0.000 0.000 0.000 25.115" Properties=species:S:1:pos:R:3 comment="Pm4Dy15Th (PBE-GGA, relaxed)" energy_ev_per_cell=-95.03 density_g_cm3=8.412 spacegroup="P4/mmm, No. 123" formation_energy_ev_per_atom=0.021 pbc="T T T"
Pm 0.000 0.000 2.516
Pm 0.000 0.000 7.558
Pm 0.000 0.000 17.557
Pm 0.000 0.000 22.599
Dy 0.000 2.527 0.000
Dy 0.000 2.527 5.039
Dy 0.000 2.527 10.099
Dy 0.000 2.527 15.016
Dy 0.000 2.527 20.076
Dy 2.527 0.000 0.000
Dy 2.527 0.000 5.039
Dy 2.527 0.000 10.099
Dy 2.527 0.000 15.016
Dy 2.527 0.000 20.076
Dy 2.527 2.527 2.520
Dy 2.527 2.527 7.544
Dy 2.527 2.527 12.558
Dy 2.527 2.527 17.571
Dy 2.527 2.527 22.595
Th 0.000 0.000 12.558

Record 6
20
Lattice="3.526 0.000 0.000 -0.008 11.989 0.000 -0.003 -5.058 15.923" Properties=species:S:1:pos:R:3 comment="Pm6DyTh3 (PBE-GGA, relaxed)" energy_ev_per_cell=-108.43 density_g_cm3=8.528 spacegroup="P-1, No. 2" formation_energy_ev_per_atom=0.115 pbc="T T T"
Pm 0.877 0.520 2.917
Pm 0.878 -1.217 8.882
Pm 0.875 0.823 11.435
Pm 0.877 4.074 2.105
Pm 0.875 4.126 10.817
Pm 0.878 10.158 0.207
Pm 2.638 -3.227 15.716
Pm 2.640 2.805 5.106
Pm 2.638 2.858 13.818
Pm 2.640 6.109 4.488
Pm 2.637 8.148 7.041
Pm 2.639 6.411 13.006
Dy 0.876 9.086 3.717
Dy 2.639 -2.154 12.206
Th 0.871 7.454 10.058
Th 0.875 -0.146 14.745
Th 0.877 4.969 7.545
Th 2.638 1.962 8.378
Th 2.640 7.078 1.178
Th 2.645 -0.523 5.865

Record 7
10
Lattice="4.417 -8.370 0.000 4.417 8.370 0.000 0.000 0.000 5.622" Properties=species:S:1:pos:R:3 comment="Pm7DyTh2 (PBE-GGA, relaxed)" energy_ev_per_cell=-45.47 density_g_cm3=6.557 spacegroup="Cmmm, No. 65" formation_energy_ev_per_atom=0.722 pbc="T T T"
Pm 0.000 0.000 0.000
Pm 2.846 1.871 0.000
Pm 4.417 3.647 2.811
Pm 2.846 -1.871 0.000
Pm 5.987 1.871 0.000
Pm 4.417 -3.647 2.811
Pm 5.987 -1.871 0.000
Dy 4.417 0.000 2.811
Th 4.417 4.949 0.000
Th 4.417 -4.949 0.000

Record 8
16
Lattice="8.936 0.000 0.000 0.000 18.081 0.000 -0.847 0.000 3.448" Properties=species:S:1:pos:R:3 comment="PmDyTh2 (PBE-GGA, relaxed)" energy_ev_per_cell=-91.45 e_above_lowest_polymorph_mev_per_atom=303 density_g_cm3=9.199 spacegroup="C2/c, No. 15" formation_energy_ev_per_atom=0.333 pbc="T T T"
Pm 2.234 4.520 0.000
Pm 1.811 13.561 1.724
Pm 6.279 4.520 1.724
Pm 6.702 13.561 0.000
Dy -0.212 1.675 0.862
Dy -0.635 16.406 2.586
Dy 3.833 7.365 2.586
Dy 4.256 10.716 0.862
Th 1.325 7.582 0.417
Th 0.902 10.499 2.141
Th 2.296 1.459 3.031
Th 2.719 16.623 1.307
Th 5.370 1.459 2.141
Th 5.794 16.623 0.417
Th 7.187 7.582 1.307
Th 6.764 10.499 3.031

Record 9
8
Lattice="5.036 0.000 0.000 0.000 5.036 0.000 0.000 0.000 10.047" Properties=species:S:1:pos:R:3 comment="PmDy6Th (PBE-GGA, relaxed)" energy_ev_per_cell=-39.57 e_above_lowest_polymorph_mev_per_atom=0 density_g_cm3=8.812 spacegroup="P4/mmm, No. 123" formation_energy_ev_per_atom=0.026 pbc="T T T"
Pm 0.000 0.000 0.000
Dy 0.000 2.518 2.549
Dy 0.000 2.518 7.498
Dy 2.518 0.000 2.549
Dy 2.518 0.000 7.498
Dy 2.518 2.518 0.000
Dy 2.518 2.518 5.023
Th 0.000 0.000 5.023

Record 10
18
Lattice="9.262 -5.319 0.000 9.262 5.319 0.000 -2.050 0.000 5.826" Properties=species:S:1:pos:R:3 comment="PmDy12Th5 (PBE-GGA, relaxed)" energy_ev_per_cell=-96.27 density_g_cm3=9.417 spacegroup="C2/m, No. 12" formation_energy_ev_per_atom=0.045 pbc="T T T"
Pm 0.000 0.000 0.000
Dy 2.422 1.762 1.962
Dy 8.237 3.550 2.913
Dy 5.833 1.756 0.976
Dy 2.422 -1.762 1.962
Dy 9.262 1.727 0.000
Dy 5.833 -1.756 0.976
Dy 10.641 1.756 4.850
Dy 9.262 -1.727 0.000
Dy 14.052 1.762 3.864
Dy 10.641 -1.756 4.850
Dy 8.237 -3.550 2.913
Dy 14.052 -1.762 3.864
Th 1.417 0.000 4.829
Th 4.808 0.000 3.892
Th 8.237 0.000 2.913
Th 11.666 0.000 1.934
Th 15.058 0.000 0.997

Record 11
26
Lattice="11.617 0.000 0.000 0.000 20.852 0.000 0.000 0.000 3.613" Properties=species:S:1:pos:R:3 comment="Pm6Dy5Th2 (PBE-GGA, relaxed)" energy_ev_per_cell=-129.62 density_g_cm3=8.147 spacegroup="Pbam, No. 55" formation_energy_ev_per_atom=0.119 pbc="T T T"
Pm 0.794 3.022 0.000
Pm 0.936 9.104 0.000
Pm 2.118 18.260 1.806
Pm 3.690 7.834 1.806
Pm 4.873 19.530 0.000
Pm 5.014 13.448 0.000
Pm 6.602 7.404 0.000
Pm 6.744 1.322 0.000
Pm 7.926 13.018 1.806
Pm 9.498 2.592 1.806
Pm 10.681 11.748 0.000
Pm 10.823 17.830 0.000
Dy 0.000 0.000 1.806
Dy 0.803 6.076 1.806
Dy 2.167 12.088 1.806
Dy 3.641 1.662 1.806
Dy 5.005 16.502 1.806
Dy 5.808 10.426 1.806
Dy 6.612 4.350 1.806
Dy 7.975 19.190 1.806
Dy 9.450 8.764 1.806
Dy 10.813 14.776 1.806
Th 2.175 15.262 0.000
Th 3.633 4.836 0.000
Th 7.984 16.016 0.000
Th 9.441 5.590 0.000

Record 12
13
Lattice="6.082 0.000 0.000 -3.041 5.267 0.000 0.000 0.000 13.365" Properties=species:S:1:pos:R:3 comment="Pm2Dy7Th4 (PBE-GGA, relaxed)" energy_ev_per_cell=-68.53 density_g_cm3=9.137 spacegroup="P-31m, No. 162" formation_energy_ev_per_atom=0.220 pbc="T T T"
Pm 0.000 3.511 0.000
Pm 3.041 1.756 0.000
Dy 0.000 0.000 0.000
Dy -1.100 1.905 10.465
Dy -1.941 3.362 2.900
Dy 2.199 0.000 10.465
Dy 1.100 1.905 2.900
Dy 3.882 0.000 2.900
Dy 1.941 3.362 10.465
Th 0.000 0.000 5.218
Th 0.000 0.000 8.147
Th 0.000 3.511 6.683
Th 3.041 1.756 6.683

Record 13
30
Lattice="3.522 -5.721 0.000 3.522 5.721 0.000 -2.612 0.000 24.191" Properties=species:S:1:pos:R:3 comment="Pm2Dy12Th (PBE-GGA, relaxed)" energy_ev_per_cell=-140.02 density_g_cm3=8.421 spacegroup="C2/m, No. 12" formation_energy_ev_per_atom=0.143 pbc="T T T"
Pm 0.844 0.000 5.566
Pm 0.029 0.000 18.675
Pm 4.404 0.000 5.516
Pm 3.588 0.000 18.626
Dy -1.637 0.000 15.228
Dy 1.035 2.893 10.320
Dy -1.758 0.000 22.304
Dy 0.029 2.796 22.852
Dy 2.627 2.835 4.124
Dy 2.703 2.839 7.274
Dy 1.729 2.839 16.917
Dy 1.805 2.835 20.067
Dy 2.600 0.000 1.688
Dy 4.404 2.796 1.339
Dy 3.397 2.893 13.871
Dy 2.535 0.000 9.038
Dy 1.898 0.000 15.154
Dy 1.035 -2.893 10.320
Dy 0.029 -2.796 22.852
Dy 1.832 0.000 22.504
Dy 2.627 -2.835 4.124
Dy 2.703 -2.839 7.274
Dy 1.729 -2.839 16.917
Dy 1.805 -2.835 20.067
Dy 4.404 -2.796 1.339
Dy 6.191 0.000 1.887
Dy 3.397 -2.893 13.871
Dy 6.070 0.000 8.963
Th 0.508 0.000 12.019
Th 3.925 0.000 12.172

Record 14
18
Lattice="-4.384 4.384 7.706 4.384 -4.384 7.706 4.384 4.384 -7.706" Properties=species:S:1:pos:R:3 comment="Pm3Dy5Th (PBE-GGA, relaxed)" energy_ev_per_cell=-84.17 density_g_cm3=8.294 spacegroup="I4/mcm, No. 140" formation_energy_ev_per_atom=0.289 pbc="T T T"
Pm 5.397 1.013 0.000
Pm 0.000 0.000 3.853
Pm 1.013 3.371 0.000
Pm 3.371 1.013 7.706
Pm 0.000 0.000 11.559
Pm -1.013 3.371 7.706
Dy 0.000 0.000 0.000
Dy 2.532 1.852 -2.109
Dy 2.532 -1.852 5.597
Dy 2.532 1.852 2.109
Dy 2.532 -1.852 9.815
Dy 0.000 0.000 7.706
Dy 1.852 6.236 -2.109
Dy 1.852 2.532 5.597
Dy 1.852 6.236 2.109
Dy 1.852 2.532 9.815
Th 4.384 0.000 3.853
Th 0.000 4.384 3.853

Record 15
13
Lattice="6.553 -5.937 0.000 6.553 5.937 0.000 -2.425 0.000 5.662" Properties=species:S:1:pos:R:3 comment="Pm8Dy3Th2 (PBE-GGA, relaxed)" energy_ev_per_cell=-64.25 density_g_cm3=7.960 spacegroup="C2/m, No. 12" formation_energy_ev_per_atom=0.185 pbc="T T T"
Pm 0.343 0.000 1.505
Pm 2.307 2.938 4.726
Pm 3.526 0.000 2.485
Pm 8.374 2.938 0.936
Pm 2.307 -2.938 4.726
Pm 7.155 0.000 3.176
Pm 8.374 -2.938 0.936
Pm 10.337 0.000 4.157
Dy 5.340 3.062 2.831
Dy 6.553 0.000 0.000
Dy 5.340 -3.062 2.831
Th 0.565 0.000 4.832
Th 10.115 0.000 0.829

Record 16
11
Lattice="9.715 -3.480 0.000 9.715 3.480 0.000 -0.397 0.000 5.672" Properties=species:S:1:pos:R:3 comment="Pm8Dy2Th (PBE-GGA, relaxed)" energy_ev_per_cell=-52.52 e_above_lowest_polymorph_mev_per_atom=161 density_g_cm3=7.435 spacegroup="C2/m, No. 12" formation_energy_ev_per_atom=0.192 pbc="T T T"
Pm 0.799 0.000 1.327
Pm 7.074 1.834 1.542
Pm 5.823 0.000 4.394
Pm 11.959 1.834 4.130
Pm 7.074 -1.834 1.542
Pm 13.209 0.000 1.278
Pm 11.959 -1.834 4.130
Pm 18.234 0.000 4.345
Dy 4.120 0.000 1.447
Dy 14.912 0.000 4.225
Th 9.715 0.000 0.000

Record 17
12
Lattice="5.736 -2.571 0.000 5.736 2.571 0.000 -4.572 0.000 13.667" Properties=species:S:1:pos:R:3 comment="Pm4DyTh (PBE-GGA, relaxed)" energy_ev_per_cell=-61.55 e_above_lowest_polymorph_mev_per_atom=0 density_g_cm3=8.029 spacegroup="C2/c, No. 15" formation_energy_ev_per_atom=0.042 pbc="T T T"
Pm 1.110 0.003 2.233
Pm -1.176 -0.003 9.066
Pm -0.021 0.002 5.720
Pm -2.307 -0.002 12.554
Pm 9.206 0.002 1.114
Pm 6.920 -0.002 7.948
Pm 8.075 0.003 4.601
Pm 5.789 -0.003 11.435
Dy 4.593 0.003 3.417
Dy 2.306 -0.003 10.251
Th 5.736 0.000 0.000
Th 3.449 0.000 6.834

Record 18
10
Lattice="3.576 0.000 0.000 1.763 8.735 0.000 0.001 0.120 11.033" Properties=species:S:1:pos:R:3 comment="Pm5Dy4Th (PBE-GGA, relaxed)" energy_ev_per_cell=-47.97 e_above_lowest_polymorph_mev_per_atom=5 density_g_cm3=7.744 spacegroup="P-1, No. 2" formation_energy_ev_per_atom=0.161 pbc="T T T"
Pm 0.000 0.000 0.000
Pm 1.785 3.166 10.422
Pm 1.784 3.046 6.107
Pm 3.555 5.809 4.926
Pm 3.555 5.689 0.611
Dy 1.763 6.233 8.234
Dy 1.788 0.525 8.266
Dy 3.551 8.331 2.767
Dy 3.576 2.622 2.799
Th 0.000 0.060 5.517